Computed, not measured: crystalline CrS2O2 at its relaxed geometry at the PBE+U level of DFT.

Cell and atoms, written as POSCAR:
```
CrS2O2
1.0
-0.324 -0.367 -6.218
-3.470 -5.160 0.485
-3.012 2.029 0.037
Cr S O
2 4 4
Direct
0.000 0.000 0.000 Cr
0.500 0.500 0.000 Cr
0.365 0.865 0.000 S
0.865 0.635 0.000 S
0.635 0.135 0.000 S
0.135 0.365 0.000 S
0.339 0.839 0.500 O
0.839 0.661 0.500 O
0.661 0.161 0.500 O
0.161 0.339 0.500 O
```

As for the space group: P4/mbm, No. 127. The density of states at the Fermi level comes out at 0.27 states/eV per atom. As for the size of the total moment: 3.67 μB/f.u. For the offset from the most stable computed form, the calculation gives 0.00 eV per formula unit.